Record 1
Material: Zn2CoPb
Method: DFT, GGA-PBEsol
State: relaxed

Cell and atoms, written as POSCAR:
```
Zn2CoPb
1.0
4.467 0.000 0.000
2.233 3.868 0.000
2.233 1.289 3.647
Co Zn Pb
1 2 1
direct
0.500 0.500 0.500
0.750 0.750 0.750
0.000 0.000 0.000
0.250 0.250 0.250
```

space-group type = F-43m, No. 216
DFT formation energy = 0.420 eV per atom


Record 2
Material: ZnCo2Pb
Method: DFT, GGA-PBEsol
State: relaxed

Cell and atoms, written as POSCAR:
```
ZnCo2Pb
1.0
-2.075 0.060 2.314
-2.016 -2.913 -1.732
3.700 -3.342 1.316
Pb Zn Co
1 1 2
direct
0.460 0.000 0.920
0.771 0.500 0.542
0.073 0.500 0.147
0.194 0.000 0.387
```

space-group type = Amm2, No. 38
DFT formation energy = 0.361 eV per atom


Record 3
Material: ZrCoPb2
Method: DFT, GGA-PBEsol
State: relaxed

Cell and atoms, written as POSCAR:
```
ZrCoPb2
1.0
-2.014 1.022 -2.274
0.715 -4.594 -2.697
-2.969 -0.148 4.821
Pb Zr Co
2 1 1
direct
0.715 0.715 0.431
0.285 0.285 0.569
0.500 0.000 0.000
0.000 0.500 0.000
```

space-group type = Immm, No. 71
DFT formation energy = 0.215 eV per atom


Record 4
Material: ZrCo2Pb
Method: DFT, GGA-PBEsol
State: relaxed

Cell and atoms, written as POSCAR:
```
ZrCo2Pb
1.0
-1.516 -2.267 2.265
0.780 -2.925 -2.405
4.875 0.492 0.983
Co Pb Zr
2 1 1
direct
0.202 0.500 0.404
0.055 0.000 0.110
0.478 0.500 0.957
0.764 0.000 0.529
```

space-group type = Amm2, No. 38
DFT formation energy = -0.036 eV per atom


Record 5
Material: Zr2CoPb
Method: DFT, GGA-PBEsol
State: relaxed

Cell and atoms, written as POSCAR:
```
Zr2CoPb
1.0
3.282 0.000 0.000
0.000 4.645 0.000
-1.641 -2.322 5.055
Co Zr Pb
1 2 1
direct
0.489 0.489 0.978
0.794 0.294 0.587
0.006 0.006 0.013
0.211 0.711 0.422
```

space-group type = Imm2, No. 44
DFT formation energy = -0.108 eV per atom


Record 6
Material: Rb3CoPd
Method: DFT, GGA-PBEsol
State: relaxed

Cell and atoms, written as POSCAR:
```
Rb3CoPd
1.0
6.211 0.000 0.000
0.000 6.211 0.000
0.000 0.000 6.211
Co Pd Rb
1 1 3
direct
0.500 0.500 0.500
0.000 0.000 0.000
0.000 0.500 0.000
0.000 0.000 0.500
0.500 0.000 0.000
```

space-group type = Pm-3m, No. 221
DFT formation energy = 0.958 eV per atom


Record 7
Material: CoSb2Pd
Method: DFT, GGA-PBEsol
State: relaxed

Cell and atoms, written as POSCAR:
```
CoSb2Pd
1.0
6.189 0.000 0.000
0.000 6.189 0.000
-3.094 -3.094 4.764
Pd Sb Co
2 4 2
direct
0.250 0.750 0.500
0.000 0.000 0.000
0.625 0.600 0.750
0.850 0.375 0.250
0.400 0.875 0.250
0.125 0.150 0.750
0.750 0.250 0.500
0.500 0.500 0.000
```

formation energy from raw total energies = 0.185 eV/atom
space-group type = I-42d, No. 122


Record 8
Material: CoPdSe3
Method: DFT, GGA-PBEsol
State: relaxed

Cell and atoms, written as POSCAR:
```
CoPdSe3
1.0
4.548 0.000 0.000
0.000 4.548 0.000
0.000 0.000 4.548
Se Co Pd
3 1 1
direct
0.500 0.000 0.000
0.000 0.500 0.000
0.000 0.000 0.500
0.000 0.000 0.000
0.500 0.500 0.500
```

formation energy from raw total energies = 0.501 eV/atom
space-group type = Pm-3m, No. 221


Record 9
Material: CoPd2Se2
Method: DFT, GGA-PBEsol
State: relaxed

Cell and atoms, written as POSCAR:
```
CoPd2Se2
1.0
4.945 0.000 0.000
0.000 5.918 0.000
-2.473 -2.959 5.220
Co Se Pd
2 4 4
direct
0.750 0.500 0.000
0.250 0.500 0.000
0.357 0.147 0.714
0.857 0.567 0.714
0.143 0.433 0.286
0.643 0.853 0.286
0.388 0.763 0.775
0.112 0.988 0.225
0.612 0.237 0.225
0.888 0.012 0.775
```

formation energy from raw total energies = -0.332 eV/atom
space-group type = Ibam, No. 72


Record 10
Material: Ta4Co2PdSe12
Method: DFT, GGA-PBEsol
State: relaxed

Cell and atoms, written as POSCAR:
```
Ta4Co2PdSe12
1.0
-0.925 -1.717 -2.744
-5.668 -3.163 1.824
-10.625 13.031 -6.639
Se Ta Co Pd
12 4 2 1
direct
0.188 0.389 0.234
0.621 0.369 0.389
0.038 0.806 0.118
0.128 0.197 0.547
0.809 0.310 0.073
0.962 0.194 0.882
0.379 0.631 0.611
0.597 0.088 0.718
0.812 0.611 0.766
0.872 0.803 0.453
0.191 0.690 0.927
0.403 0.912 0.282
0.744 0.919 0.594
0.621 0.909 0.850
0.379 0.091 0.150
0.256 0.081 0.406
0.773 0.172 0.283
0.227 0.828 0.717
0.000 0.000 0.000
```

formation energy from raw total energies = -0.716 eV/atom
space-group type = C2/m, No. 12


Record 11
Material: SrZn2CoPd
Method: DFT, GGA-PBEsol
State: relaxed

Cell and atoms, written as POSCAR:
```
SrZn2CoPd
1.0
4.406 0.000 0.000
0.000 5.188 0.000
0.000 0.000 5.188
Co Zn Sr Pd
1 2 1 1
direct
0.500 0.000 0.000
0.000 0.000 0.500
0.000 0.500 0.000
0.000 0.000 0.000
0.500 0.500 0.500
```

space-group type = P4/mmm, No. 123
DFT formation energy = 1.783 eV per atom


Record 12
Material: TaCoPd2
Method: DFT, GGA-PBEsol
State: relaxed

Cell and atoms, written as POSCAR:
```
TaCoPd2
1.0
4.327 0.000 0.000
2.164 3.747 0.000
2.164 1.249 3.533
Co Pd Ta
1 2 1
direct
0.000 0.000 0.000
0.750 0.750 0.750
0.250 0.250 0.250
0.500 0.500 0.500
```

space-group type = Fm-3m, No. 225
DFT formation energy = -0.024 eV per atom


Record 13
Material: Ta2Co2Pd
Method: DFT, GGA-PBEsol
State: relaxed

Cell and atoms, written as POSCAR:
```
Ta2Co2Pd
1.0
-1.560 2.097 1.402
-3.621 1.111 -5.690
-4.548 -4.704 1.976
Ta Co Pd
4 4 2
direct
0.500 0.170 0.670
0.500 0.830 0.330
0.500 0.330 0.170
0.500 0.670 0.830
0.000 0.130 0.370
0.000 0.870 0.630
0.000 0.370 0.870
0.000 0.630 0.130
0.000 0.000 0.000
0.000 0.500 0.500
```

space-group type = P4/mbm, No. 127
DFT formation energy = -0.323 eV per atom


Record 14
Material: Ta3CoPd
Method: DFT, GGA-PBEsol
State: relaxed

Cell and atoms, written as POSCAR:
```
Ta3CoPd
1.0
-0.396 -4.087 1.808
-0.166 -1.801 -4.106
4.466 -0.429 0.008
Ta Co Pd
3 1 1
direct
0.000 0.000 0.500
0.500 0.000 0.000
0.000 0.500 0.000
0.000 0.000 0.000
0.500 0.500 0.500
```

space-group type = Pm-3m, No. 221
DFT formation energy = 0.699 eV per atom


Record 15
Material: Co2TcPd
Method: DFT, GGA-PBEsol
State: relaxed

Cell and atoms, written as POSCAR:
```
Co2TcPd
1.0
-1.170 3.916 -0.363
-1.526 1.995 3.245
2.188 2.970 1.797
Pd Co Tc
1 2 1
direct
0.500 0.500 0.500
0.750 0.750 0.750
0.250 0.250 0.250
0.000 0.000 0.000
```

space-group type = Fm-3m, No. 225
DFT formation energy = 0.235 eV per atom


Record 16
Material: CoTe2Pd2
Method: DFT, GGA-PBEsol
State: relaxed

Cell and atoms, written as POSCAR:
```
CoTe2Pd2
1.0
5.160 0.000 0.000
0.000 6.203 0.000
-2.580 -3.101 5.500
Pd Te Co
4 4 2
direct
0.105 0.473 0.211
0.895 0.527 0.789
0.605 0.738 0.211
0.395 0.262 0.789
0.854 0.069 0.709
0.146 0.931 0.291
0.646 0.360 0.291
0.354 0.640 0.709
0.750 0.000 0.000
0.250 0.000 0.000
```

formation energy from raw total energies = -0.331 eV/atom
space-group type = Ibam, No. 72


Record 17
Material: TiCo2Pd2
Method: DFT, GGA-PBEsol
State: relaxed

Cell and atoms, written as POSCAR:
```
TiCo2Pd2
1.0
-1.452 -0.558 3.288
-1.075 -3.316 -1.037
5.939 -0.116 0.591
Pd Co Ti
2 2 1
direct
0.750 0.250 0.500
0.250 0.750 0.500
0.405 0.405 0.810
0.595 0.595 0.190
0.000 0.000 0.000
```

space-group type = I4/mmm, No. 139
DFT formation energy = 0.110 eV per atom


Record 18
Material: Ti3CoPd
Method: DFT, GGA-PBEsol
State: relaxed

Cell and atoms, written as POSCAR:
```
Ti3CoPd
1.0
-1.626 2.853 2.899
-2.965 -2.969 1.259
2.785 -1.495 3.033
Ti Co Pd
3 1 1
direct
0.000 0.000 0.500
0.000 0.500 0.000
0.500 0.000 0.000
0.000 0.000 0.000
0.500 0.500 0.500
```

space-group type = Pm-3m, No. 221
DFT formation energy = 0.184 eV per atom


Record 19
Material: Ti2Co2Pd
Method: DFT, GGA-PBEsol
State: relaxed

Cell and atoms, written as POSCAR:
```
Ti2Co2Pd
1.0
-1.866 -1.159 1.810
-0.330 -5.522 -3.874
5.090 -2.749 3.485
Pd Ti Co
2 4 4
direct
0.000 0.500 0.500
0.000 0.000 0.000
0.500 0.167 0.667
0.500 0.333 0.167
0.500 0.667 0.833
0.500 0.833 0.333
0.000 0.869 0.631
0.000 0.369 0.869
0.000 0.631 0.131
0.000 0.131 0.369
```

space-group type = P4/mbm, No. 127
DFT formation energy = -0.429 eV per atom


Record 20
Material: YCoPd2
Method: DFT, GGA-PBEsol
State: relaxed

Cell and atoms, written as POSCAR:
```
YCoPd2
1.0
4.526 0.000 0.000
2.263 3.919 0.000
2.263 1.306 3.695
Pd Co Y
2 1 1
direct
0.250 0.250 0.250
0.750 0.750 0.750
0.000 0.000 0.000
0.500 0.500 0.500
```

space-group type = Fm-3m, No. 225
DFT formation energy = -0.266 eV per atom


Record 21
Material: YCoPd3
Method: DFT, GGA-PBEsol
State: relaxed

Cell and atoms, written as POSCAR:
```
YCoPd3
1.0
-0.087 -1.362 -4.327
-1.367 -4.119 1.324
-4.326 1.329 -0.331
Co Pd Y
1 3 1
direct
0.000 0.000 0.000
0.000 0.500 0.000
0.500 0.000 0.000
0.000 0.000 0.500
0.500 0.500 0.500
```

space-group type = Pm-3m, No. 221
DFT formation energy = 0.086 eV per atom


Record 22
Material: Zr2CoPd
Method: DFT, GGA-PBEsol
State: relaxed

Cell and atoms, written as POSCAR:
```
Zr2CoPd
1.0
4.563 0.000 0.000
2.282 3.952 0.000
2.282 1.317 3.726
Zr Co Pd
2 1 1
direct
0.250 0.250 0.250
0.750 0.750 0.750
0.000 0.000 0.000
0.500 0.500 0.500
```

space-group type = Fm-3m, No. 225
DFT formation energy = -0.406 eV per atom


Record 23
Material: Zr2Co2Pd
Method: DFT, GGA-PBEsol
State: relaxed

Cell and atoms, written as POSCAR:
```
Zr2Co2Pd
1.0
-2.248 2.454 -0.355
-4.048 -3.066 4.435
2.927 3.409 5.027
Zr Co Pd
4 4 2
direct
0.500 0.326 0.174
0.500 0.826 0.326
0.500 0.674 0.826
0.500 0.174 0.674
0.000 0.375 0.875
0.000 0.125 0.375
0.000 0.875 0.625
0.000 0.625 0.125
0.000 0.000 0.000
0.000 0.500 0.500
```

space-group type = P4/mbm, No. 127
DFT formation energy = -0.459 eV per atom


Record 24
Material: Pm2CoRu
Method: DFT, GGA-PBEsol
State: relaxed

Cell and atoms, written as POSCAR:
```
Pm2CoRu
1.0
-4.630 -0.688 -1.096
-1.198 -2.747 -3.759
-2.026 -4.301 0.714
Pm Ru Co
2 1 1
direct
0.250 0.250 0.250
0.750 0.750 0.750
0.500 0.500 0.500
0.000 0.000 0.000
```

space-group type = Fm-3m, No. 225
DFT formation energy = 0.004 eV per atom


Record 25
Material: PrCo2
Method: DFT, GGA-PBEsol
State: relaxed

Cell and atoms, written as POSCAR:
```
PrCo2
1.0
5.071 0.000 0.000
2.536 4.392 0.000
2.536 1.464 4.141
Co Pr
4 2
direct
0.125 0.625 0.125
0.625 0.125 0.125
0.125 0.125 0.625
0.125 0.125 0.125
0.500 0.500 0.500
0.750 0.750 0.750
```

space-group type = Fd-3m, No. 227
DFT formation energy = 0.006 eV per atom


Record 26
Material: Pr2Co17
Method: DFT, GGA-PBEsol
State: relaxed

Cell and atoms, written as POSCAR:
```
Pr2Co17
1.0
-3.336 3.667 -3.757
2.157 -2.284 -5.368
-4.644 -4.012 -1.017
Co Pr
17 2
direct
0.096 0.096 0.096
0.853 0.343 0.343
0.284 0.716 0.000
0.343 0.343 0.853
0.147 0.657 0.657
0.000 0.284 0.716
0.657 0.657 0.147
0.000 0.716 0.284
0.716 0.000 0.284
0.343 0.853 0.343
0.657 0.147 0.657
0.500 0.000 0.000
0.904 0.904 0.904
0.716 0.284 0.000
0.000 0.000 0.500
0.000 0.500 0.000
0.284 0.000 0.716
0.655 0.655 0.655
0.345 0.345 0.345
```

space-group type = R-3m, No. 166
DFT formation energy = -0.022 eV per atom


Number 1: N(E_F) 3.5 states/eV per cell. Number 2: N(E_F) 4.7 states/eV per cell. Number 3: N(E_F) 3.1 states/eV per cell. Number 4: N(E_F) 2.1 states/eV per cell. Number 5: N(E_F) 3.4 states/eV per cell. Number 6: N(E_F) 7.8 states/eV per cell. Number 7: N(E_F) 5.2 states/eV per cell. Number 8: N(E_F) 6.9 states/eV per cell. Number 9: N(E_F) 5.3 states/eV per cell. Number 10: N(E_F) 2.3 states/eV per cell. Number 11: N(E_F) 3.2 states/eV per cell. Number 12: N(E_F) 5.7 states/eV per cell. Number 13: N(E_F) 4.4 states/eV per cell. Number 14: N(E_F) 5.3 states/eV per cell. Number 15: N(E_F) 5.5 states/eV per cell. Number 16: N(E_F) 4.0 states/eV per cell. Number 17: N(E_F) 5.8 states/eV per cell. Number 18: N(E_F) 8.0 states/eV per cell. Number 19: N(E_F) 9.5 states/eV per cell. Number 20: N(E_F) 7.8 states/eV per cell. Number 21: N(E_F) 4.4 states/eV per cell. Number 22: N(E_F) 4.4 states/eV per cell. Number 23: N(E_F) 10.0 states/eV per cell. Number 24: N(E_F) 2.8 states/eV per cell. Number 25: N(E_F) 9.0 states/eV per cell. Number 26: N(E_F) 19.7 states/eV per cell.